# 1
The following is a PBE-GGA calculation of Ca2AgPt after structural relaxation, from Alexandria.

a b c (Å): 7.082 7.122 3.659
angles (deg): 90.00 90.00 90.00
Space group Cmmm (No. 65)
One atom of each set of equivalent atoms:
Ca 0.250 0.250 0.000
Ag 0.000 0.000 0.500
Pt 0.000 0.500 0.500

Calculated values
- Fermi-level density of states (states/eV per cell) = 3.86
- formation energy from the elements (meV/atom) = -606
- total magnetization (μB/atom) = 0.000


# 2
The following is a PBE-GGA calculation of Ho12Co6Ir after structural relaxation, from Alexandria.

a b c (Å): 9.445 9.445 9.445
angles (deg): 90.00 90.00 90.00
Space group Im-3 (No. 204)
One atom of each set of equivalent atoms:
Ho 0.000 0.191 0.296
Co 0.000 0.384 0.500
Ir 0.000 0.000 0.000

Calculated values
- Fermi-level density of states (states/eV per cell) = 26.99
- formation energy from the elements (meV/atom) = -245
- total magnetization (μB/atom) = 0.000


Repeat the first record exactly.
The following is a PBE-GGA calculation of Ca2AgPt after structural relaxation, from Alexandria.

a b c (Å): 7.082 7.122 3.659
angles (deg): 90.00 90.00 90.00
Space group Cmmm (No. 65)
One atom of each set of equivalent atoms:
Ca 0.250 0.250 0.000
Ag 0.000 0.000 0.500
Pt 0.000 0.500 0.500

Calculated values
- Fermi-level density of states (states/eV per cell) = 3.86
- formation energy from the elements (meV/atom) = -606
- total magnetization (μB/atom) = 0.000